No. 1
The following is a GGA-PBE calculation of a relaxed structure of LiAuS4O14, from OQMD via LeMat-Bulk.

Geometry as extended XYZ:
```
20
Lattice="5.239 0.000 0.000 1.397 6.218 0.000 0.095 2.674 7.850" Properties=species:S:1:pos:R:3 pbc="T T T"
Li 0.000 0.000 0.000
Au 0.746 4.446 3.925
S 1.919 6.374 5.984
S 2.840 3.611 6.001
S 3.890 5.281 1.849
S 4.811 2.517 1.866
O 0.830 3.303 2.255
O 1.644 6.968 7.255
O 2.513 7.110 4.920
O 2.563 5.818 1.751
O 1.800 3.100 6.836
O 2.465 3.573 4.515
O 3.044 5.177 6.345
O 3.686 3.714 1.504
O 4.266 5.318 3.334
O 4.931 5.791 1.014
O 4.167 3.073 6.099
O 4.218 1.781 2.929
O 5.087 1.923 0.594
O 5.901 5.588 5.594
```

Output
- raw total energy (eV/f.u.) = -113.67

No. 2
The following is a GGA-PBE calculation of a relaxed structure of TbYGa4, from OQMD via LeMat-Bulk.

Geometry as extended XYZ:
```
12
Lattice="2.054 -9.392 0.000 2.054 9.392 0.000 0.000 0.000 6.502" Properties=species:S:1:pos:R:3 pbc="T T T"
Tb 2.054 4.984 4.876
Tb 2.054 -4.984 1.625
Y 2.054 7.696 1.625
Y 2.054 -7.696 4.876
Ga 2.054 8.082 4.876
Ga 2.054 2.719 0.288
Ga 2.054 2.719 2.963
Ga 2.054 0.000 0.000
Ga 2.054 0.000 3.251
Ga 2.054 -2.719 3.539
Ga 2.054 -2.719 6.214
Ga 2.054 -8.082 1.625
```

Output
- energy above the most stable polymorph in this dataset (meV/atom) = 87

No. 3
The following is a GGA-PBE calculation of a relaxed structure of PaNiHg, from OQMD via LeMat-Bulk.

Geometry as extended XYZ:
```
3
Lattice="0.000 3.201 3.201 3.201 0.000 3.201 3.201 3.201 0.000" Properties=species:S:1:pos:R:3 pbc="T T T"
Pa 0.000 0.000 0.000
Ni 4.801 4.801 4.801
Hg 3.201 3.201 3.201
```

Output
- ΔE_f (eV per atom) = -0.023
- energy above the most stable polymorph in this dataset (meV/atom) = 0